Here is a relaxed Ge2AsPb2 crystal from Alexandria. Energies are from PBE-GGA.

Values from the calculation:
The total magnetic moment is 0.000 μB/atom. Its energy above the most stable polymorph in this dataset is 29 meV/atom. As for the symmetry: P4/mbm. The formation energy comes out at 0.2110 eV per atom.

Lattice parameters (Å, degrees): 7.0198 7.0198 5.1106 90.00 90.00 90.00
Positions (direct):
Ge (0.1322, 0.3678, 0.0000)
Ge (0.3678, 0.8678, 0.0000)
Ge (0.6322, 0.1322, 0.0000)
Ge (0.8678, 0.6322, 0.0000)
As (0.0000, 0.0000, 0.0000)
As (0.5000, 0.5000, 0.0000)
Pb (0.1849, 0.6849, 0.5000)
Pb (0.3151, 0.1849, 0.5000)
Pb (0.6849, 0.8151, 0.5000)
Pb (0.8151, 0.3151, 0.5000)